Record 1
Below is crystalline V2Co6Ni at its relaxed geometry, with properties calculated at the PBE level.

Crystal system ... monoclinic
Formation energy ... 106 meV/atom
Space group ... C2/m
DOS(E_F) ... 1.167 states/eV per atom

a b c (Å): 4.6714 4.6714 5.7002
angles (deg): 101.60 101.60 61.49
Atoms (fractional coordinates):
V1 0.1657 0.1657 0.3528
V2 0.8343 0.8343 0.6472
Co1 0.1451 0.6513 0.1345
Co2 0.3265 0.3265 0.7654
Co3 0.3487 0.8549 0.8655
Co4 0.6513 0.1451 0.1345
Co5 0.6735 0.6735 0.2346
Co6 0.8549 0.3487 0.8655
Ni1 0.5000 0.5000 0.5000

---

Record 2
Below is crystalline VCo2Ni4 at its relaxed geometry, with properties calculated at the PBE level.

Crystal system ... trigonal
Formation energy ... 15 meV/atom
Space group ... R-3m
Energy above the most stable polymorph in this dataset ... 0 meV per atom
DOS(E_F) ... 1.299 states/eV per atom

a b c (Å): 6.1451 6.1451 6.1451
angles (deg): 37.73 37.73 37.73
Atoms (fractional coordinates):
V1 0.0000 0.0000 0.0000
Co1 0.2888 0.2888 0.2888
Co2 0.7112 0.7112 0.7112
Ni1 0.1435 0.1435 0.1435
Ni2 0.4311 0.4311 0.4311
Ni3 0.5689 0.5689 0.5689
Ni4 0.8565 0.8565 0.8565

---

Record 3
Below is crystalline V2CoNi4 at its relaxed geometry, with properties calculated at the PBE level.

Crystal system ... orthorhombic
Formation energy ... 32 meV/atom
Space group ... Cmmm
DOS(E_F) ... 0.810 states/eV per atom

a b c (Å): 6.6678 7.2900 3.4891
angles (deg): 90.00 90.00 90.00
Atoms (fractional coordinates):
V1 0.2288 0.0000 0.0000
V2 0.2712 0.5000 0.0000
V3 0.7288 0.5000 0.0000
V4 0.7712 0.0000 0.0000
Co1 0.0000 0.5000 0.5000
Co2 0.5000 0.0000 0.5000
Ni1 0.0000 0.2557 0.0000
Ni2 0.0000 0.7443 0.0000
Ni3 0.2500 0.2500 0.5000
Ni4 0.2500 0.7500 0.5000
Ni5 0.5000 0.2443 0.0000
Ni6 0.5000 0.7557 0.0000
Ni7 0.7500 0.2500 0.5000
Ni8 0.7500 0.7500 0.5000

---

Record 4
Below is crystalline VCoNi at its relaxed geometry, with properties calculated at the PBE level.

Crystal system ... monoclinic
Formation energy ... -96 meV/atom
Space group ... C2/m
Energy above the most stable polymorph in this dataset ... 78 meV per atom
DOS(E_F) ... 1.221 states/eV per atom

a b c (Å): 8.2570 4.0970 4.8181
angles (deg): 90.00 122.29 90.00
Atoms (fractional coordinates):
V1 0.1826 0.0000 0.2278
V2 0.3174 0.5000 0.7722
V3 0.6826 0.5000 0.2278
V4 0.8174 0.0000 0.7722
Co1 0.1632 0.0000 0.7034
Co2 0.3368 0.5000 0.2966
Co3 0.6632 0.5000 0.7034
Co4 0.8368 0.0000 0.2966
Ni1 0.0011 0.5000 0.7542
Ni2 0.4989 0.0000 0.2458
Ni3 0.5011 0.0000 0.7542
Ni4 0.9989 0.5000 0.2458

---

Question: What is the formula in the third record?
Answer: V2CoNi4